First-principles (GGA-PBE) data for a geometry-optimized Cu11PdN4 structure, as listed in OQMD via LeMat-Bulk. Values from VASP.

Calculated values
- energy relative to the lowest polymorph listed for this composition (eV per atom) = 0.089

Geometry as Quantum ESPRESSO input:
```
&SYSTEM
  ibrav = 0, nat = 16, ntyp = 3
/
ATOMIC_SPECIES
Cu 63.55 Cu.upf
Pd 106.42 Pd.upf
N 14.01 N.upf
CELL_PARAMETERS angstrom
7.448 0.000 0.000
0.000 7.448 0.000
0.000 0.000 3.798
ATOMIC_POSITIONS angstrom
Cu 0.000 0.000 0.000
Cu 0.000 3.724 0.000
Cu 1.779 1.779 0.000
Cu 1.779 5.668 0.000
Cu 1.806 3.724 1.899
Cu 3.724 0.000 0.000
Cu 3.724 1.806 1.899
Cu 3.724 5.642 1.899
Cu 5.642 3.724 1.899
Cu 5.668 1.779 0.000
Cu 5.668 5.668 0.000
Pd 3.724 3.724 0.000
N 0.000 0.000 1.899
N 0.000 3.724 1.899
N 3.724 0.000 1.899
N 3.724 3.724 1.899
```


First-principles (GGA-PBE) data for a geometry-optimized LiCuIrSeS2 structure, as listed in OQMD via LeMat-Bulk. Values from VASP.

Calculated values
- total energy (Ry/atom) = -0.34874

Geometry as Quantum ESPRESSO input:
```
&SYSTEM
  ibrav = 0, nat = 12, ntyp = 5
/
ATOMIC_SPECIES
Li 6.94 Li.upf
Cu 63.55 Cu.upf
Ir 192.22 Ir.upf
Se 78.96 Se.upf
S 32.06 S.upf
CELL_PARAMETERS angstrom
1.789 -6.096 0.000
1.789 6.096 0.000
0.000 0.000 9.386
ATOMIC_POSITIONS angstrom
Li 1.789 3.261 7.040
Li 1.789 -3.261 2.347
Cu 1.789 0.617 2.347
Cu 1.789 -0.617 7.040
Ir 0.000 0.000 0.000
Ir 0.000 0.000 4.693
Se 1.789 4.989 2.347
Se 1.789 -4.989 7.040
S 1.789 1.585 0.354
S 1.789 1.585 4.339
S 1.789 -1.585 5.047
S 1.789 -1.585 9.032
```


First-principles (GGA-PBE) data for a geometry-optimized NdScNO structure, as listed in OQMD via LeMat-Bulk. Values from VASP.

Calculated values
- energy relative to the lowest polymorph listed for this composition (eV per atom) = 0.000

Geometry as Quantum ESPRESSO input:
```
&SYSTEM
  ibrav = 0, nat = 8, ntyp = 4
/
ATOMIC_SPECIES
Nd 144.24 Nd.upf
Sc 44.96 Sc.upf
N 14.01 N.upf
O 16.00 O.upf
CELL_PARAMETERS angstrom
3.907 0.000 0.000
0.000 6.817 0.000
0.000 0.000 4.808
ATOMIC_POSITIONS angstrom
Nd 0.000 1.140 0.000
Nd 0.000 5.676 2.404
Sc 1.953 2.343 2.405
Sc 1.953 4.474 0.001
N 1.953 2.426 4.797
N 1.953 4.391 2.394
O 0.000 1.448 2.406
O 0.000 5.369 0.002
```


First-principles (GGA-PBE) data for a geometry-optimized LiFeTcAs structure, as listed in OQMD via LeMat-Bulk. Values from VASP.

Calculated values
- energy relative to the lowest polymorph listed for this composition (eV per atom) = 0.073

Geometry as Quantum ESPRESSO input:
```
&SYSTEM
  ibrav = 0, nat = 4, ntyp = 4
/
ATOMIC_SPECIES
Li 6.94 Li.upf
Fe 55.84 Fe.upf
Tc 98.00 Tc.upf
As 74.92 As.upf
CELL_PARAMETERS angstrom
0.000 2.922 2.922
2.922 0.000 2.922
2.922 2.922 0.000
ATOMIC_POSITIONS angstrom
Li 0.000 0.000 0.000
Fe 2.922 2.922 2.922
Tc 4.383 4.383 4.383
As 1.461 1.461 1.461
```


First-principles (GGA-PBE) data for a geometry-optimized CsNdTl structure, as listed in OQMD via LeMat-Bulk. Values from VASP.

Calculated values
- total energy (Ry/atom) = -0.16348

Geometry as Quantum ESPRESSO input:
```
&SYSTEM
  ibrav = 0, nat = 3, ntyp = 3
/
ATOMIC_SPECIES
Cs 132.91 Cs.upf
Nd 144.24 Nd.upf
Tl 204.38 Tl.upf
CELL_PARAMETERS angstrom
0.000 4.123 4.123
4.123 0.000 4.123
4.123 4.123 0.000
ATOMIC_POSITIONS angstrom
Cs 0.000 0.000 0.000
Nd 4.123 4.123 4.123
Tl 2.061 2.061 2.061
```


First-principles (GGA-PBE) data for a geometry-optimized AlHg structure, as listed in OQMD via LeMat-Bulk. Values from VASP.

Calculated values
- total energy (Ry/atom) = -0.13242

Geometry as Quantum ESPRESSO input:
```
&SYSTEM
  ibrav = 0, nat = 2, ntyp = 2
/
ATOMIC_SPECIES
Al 26.98 Al.upf
Hg 200.59 Hg.upf
CELL_PARAMETERS angstrom
3.148 0.000 0.000
-1.574 2.727 0.000
0.000 0.000 4.895
ATOMIC_POSITIONS angstrom
Al 0.000 0.000 0.000
Hg 1.574 0.909 2.447
```


First-principles (GGA-PBE) data for a geometry-optimized ScFeCoSn structure, as listed in OQMD via LeMat-Bulk. Values from VASP.

Calculated values
- energy relative to the lowest polymorph listed for this composition (eV per atom) = 0.257

Geometry as Quantum ESPRESSO input:
```
&SYSTEM
  ibrav = 0, nat = 4, ntyp = 4
/
ATOMIC_SPECIES
Sc 44.96 Sc.upf
Fe 55.84 Fe.upf
Co 58.93 Co.upf
Sn 118.71 Sn.upf
CELL_PARAMETERS angstrom
0.000 3.184 3.184
3.184 0.000 3.184
3.184 3.184 0.000
ATOMIC_POSITIONS angstrom
Sc 0.000 0.000 0.000
Fe 3.184 3.184 3.184
Co 1.592 1.592 1.592
Sn 4.776 4.776 4.776
```


First-principles (GGA-PBE) data for a geometry-optimized LiFe2As structure, as listed in OQMD via LeMat-Bulk. Values from VASP.

Calculated values
- total energy (Ry/atom) = -0.41290

Geometry as Quantum ESPRESSO input:
```
&SYSTEM
  ibrav = 0, nat = 16, ntyp = 3
/
ATOMIC_SPECIES
Li 6.94 Li.upf
Fe 55.84 Fe.upf
As 74.92 As.upf
CELL_PARAMETERS angstrom
5.685 0.000 0.000
0.000 5.685 0.000
0.000 0.000 5.685
ATOMIC_POSITIONS angstrom
Li 0.000 0.000 0.000
Li 0.000 0.000 2.842
Li 0.000 2.842 0.000
Li 2.842 0.000 0.000
Fe 1.479 1.479 1.479
Fe 1.479 1.479 4.205
Fe 1.479 4.205 1.479
Fe 1.479 4.205 4.205
Fe 4.205 1.479 1.479
Fe 4.205 1.479 4.205
Fe 4.205 4.205 1.479
Fe 4.205 4.205 4.205
As 0.000 2.842 2.842
As 2.842 0.000 2.842
As 2.842 2.842 0.000
As 2.842 2.842 2.842
```


First-principles (GGA-PBE) data for a geometry-optimized PrMg structure, as listed in OQMD via LeMat-Bulk. Values from VASP.

Calculated values
- energy relative to the lowest polymorph listed for this composition (eV per atom) = 0.121

Geometry as Quantum ESPRESSO input:
```
&SYSTEM
  ibrav = 0, nat = 8, ntyp = 2
/
ATOMIC_SPECIES
Pr 140.91 Pr.upf
Mg 24.30 Mg.upf
CELL_PARAMETERS angstrom
6.972 0.000 0.000
0.000 6.158 0.000
0.000 0.000 5.612
ATOMIC_POSITIONS angstrom
Pr 1.003 0.481 1.403
Pr 1.003 2.598 4.209
Pr 5.969 3.559 1.403
Pr 5.969 5.677 4.209
Mg 2.608 3.664 1.403
Mg 2.608 5.573 4.209
Mg 4.364 0.585 1.403
Mg 4.364 2.494 4.209
```


First-principles (GGA-PBE) data for a geometry-optimized Tb2HoMg3Pt2Au structure, as listed in OQMD via LeMat-Bulk. Values from VASP.

Calculated values
- total energy (Ry/atom) = -0.34041

Geometry as Quantum ESPRESSO input:
```
&SYSTEM
  ibrav = 0, nat = 9, ntyp = 5
/
ATOMIC_SPECIES
Tb 158.93 Tb.upf
Ho 164.93 Ho.upf
Mg 24.30 Mg.upf
Pt 195.08 Pt.upf
Au 196.97 Au.upf
CELL_PARAMETERS angstrom
4.044 0.000 0.000
0.000 6.458 3.739
0.000 -6.458 3.739
ATOMIC_POSITIONS angstrom
Tb 0.000 -3.769 3.739
Tb 0.000 3.769 3.739
Ho 0.000 0.000 2.814
Mg 2.022 0.000 0.326
Mg 2.022 -1.614 4.979
Mg 2.022 1.614 4.979
Pt 2.022 -2.132 2.189
Pt 2.022 2.132 2.189
Au 0.000 0.000 5.906
```